Compound: Sc2Cr2O7
Source: the Alexandria database
Functional: GGA+U
Structure: optimized geometry

```
Sc2Cr2O7
1.0
-4.003 -3.594 -4.316
-4.549 -4.546 2.493
-6.757 1.335 -0.355
Sc Cr O
4 4 14
Direct
0.625 0.625 0.625
0.625 0.625 0.125
0.625 0.125 0.625
0.125 0.625 0.625
0.625 0.125 0.125
0.125 0.625 0.125
0.125 0.125 0.625
0.125 0.125 0.125
0.211 0.211 0.789
0.211 0.789 0.211
0.461 0.039 0.461
0.461 0.461 0.039
0.750 0.750 0.750
0.789 0.211 0.211
0.461 0.039 0.039
0.039 0.461 0.461
0.039 0.039 0.461
0.039 0.461 0.039
0.211 0.789 0.789
0.500 0.500 0.500
0.789 0.211 0.789
0.789 0.789 0.211
```

D(E_F) = 0.38 states/eV per atom
electronic total energy = -177.1 eV per cell
size of the total moment = 4.00 μB per formula unit